Entry 1:
First-principles (PBE) data for a relaxed Re2OsBr crystal, as listed in Alexandria via LeMat-Bulk.

Cell and atoms, written as POSCAR:
```
Re2OsBr
1.0
-0.602 -4.202 1.877
4.580 -0.733 -0.166
0.278 1.136 2.634
Re Os Br
2 1 1
Cartesian
0.000 0.000 0.000
1.989 -2.468 0.855
2.429 0.201 1.234
-0.162 -1.533 2.255
```

Calculated values
V, Å³/cell: 62
Formation energy without anion corrections, meV/atom: 1189
Total magnetic moment, μB/f.u.: 0.00
SG: P4/mmm

Entry 2:
First-principles (PBE) data for a relaxed HfHRh3 crystal, as listed in Alexandria via LeMat-Bulk.

Cell and atoms, written as POSCAR:
```
HfHRh3
1.0
5.065 0.000 0.000
0.000 5.065 0.000
2.533 2.533 5.606
Rh Hf H
6 2 2
Cartesian
1.217 5.065 1.624
2.533 6.381 3.981
2.533 3.749 3.981
3.849 5.065 1.624
2.533 2.533 1.441
5.065 5.065 4.164
5.065 2.533 4.998
5.065 2.533 0.608
0.000 0.000 0.000
2.533 5.065 2.803
```

Calculated values
V, Å³/cell: 144
DFT total energy, eV/atom: -7.25
Total magnetic moment, μB/f.u.: 0.00
SG: I-4m2

Entry 3:
First-principles (PBE) data for a relaxed Ni3PdN crystal, as listed in Alexandria via LeMat-Bulk.

Cell and atoms, written as POSCAR:
```
Ni3PdN
1.0
-19.426 3.157 -2.480
-6.509 2.021 -3.215
6.678 -3.490 0.015
Ni Pd N
6 2 2
Cartesian
-11.489 -0.243 -2.439
-7.767 1.931 -3.240
-16.435 1.695 -3.592
-2.822 -0.008 -2.088
-11.195 1.883 -3.400
-8.062 -0.196 -2.279
-19.406 3.782 -4.708
0.149 -2.095 -0.972
-9.774 -0.614 -2.178
-9.483 2.302 -3.502
```

Calculated values
V, Å³/cell: 127
Formation energy without anion corrections, meV/atom: 240
Total magnetic moment, μB/f.u.: 0.00
SG: C2/m

Entry 4:
First-principles (PBE) data for a relaxed HgW crystal, as listed in Alexandria via LeMat-Bulk.

Cell and atoms, written as POSCAR:
```
HgW
1.0
-2.611 0.732 -3.853
1.484 -1.575 -4.185
-2.203 -3.611 -2.074
Hg W
2 2
Cartesian
0.000 0.000 0.000
-2.498 -3.341 -7.584
-0.833 -1.114 -2.528
-1.665 -2.227 -5.056
```

Calculated values
V, Å³/cell: 74
Calculated formation energy, eV/atom: 1.07
Total magnetic moment, μB/f.u.: 0.00
SG: Fd-3m

Entry 5:
First-principles (PBE) data for a relaxed Er2UNbC4 crystal, as listed in Alexandria via LeMat-Bulk.

Cell and atoms, written as POSCAR:
```
Er2UNbC4
1.0
-2.744 5.339 -3.312
-4.451 0.931 5.130
6.829 -0.229 1.261
Er U Nb C
4 2 2 8
Cartesian
5.457 2.440 -0.394
2.043 2.555 -1.025
3.414 -0.115 0.631
-3.597 3.135 0.909
4.603 0.236 3.826
1.189 0.351 3.196
-0.183 3.020 1.540
4.085 5.109 -2.050
2.788 1.624 4.341
0.212 4.177 -0.391
-0.578 1.863 3.471
-3.154 4.416 -1.261
1.309 4.518 2.522
-1.826 4.623 1.942
1.460 1.417 1.137
-1.675 1.522 0.558
```

Calculated values
V, Å³/cell: 228
Calculated formation energy, eV/atom: -0.40
Total magnetic moment, μB/f.u.: 0.00
SG: Imma

Entry 6:
First-principles (PBE) data for a relaxed CrGeSb2Te crystal, as listed in Alexandria via LeMat-Bulk.

Cell and atoms, written as POSCAR:
```
CrGeSb2Te
1.0
5.041 0.000 0.000
0.000 5.041 0.000
0.000 0.000 5.369
Sb Ge Te Cr
2 1 1 1
Cartesian
0.000 2.521 0.000
2.521 0.000 0.000
2.521 2.521 2.684
0.000 0.000 2.684
0.000 0.000 0.000
```

Calculated values
V, Å³/cell: 136
Formation energy without anion corrections, meV/atom: 539
Total magnetic moment, μB/f.u.: 2.45
SG: P4/mmm

Entry 7:
First-principles (PBE) data for a relaxed La3Pr2Er8 crystal, as listed in Alexandria via LeMat-Bulk.

Cell and atoms, written as POSCAR:
```
La3Pr2Er8
1.0
0.264 -6.080 -1.434
6.165 -0.689 -0.531
4.693 -3.301 10.403
La Pr Er
3 2 8
Cartesian
0.000 0.000 0.000
6.329 -6.057 8.764
4.794 -4.013 -0.326
7.949 -7.035 4.047
3.173 -3.035 4.391
3.096 -1.238 1.327
8.027 -8.832 7.112
6.224 -2.475 2.596
4.899 -7.595 5.843
9.406 -5.511 6.923
6.282 -4.264 5.665
4.840 -5.805 2.773
1.717 -4.558 1.516
```

Calculated values
V, Å³/cell: 427
Calculated formation energy, eV/atom: 0.03
Total magnetic moment, μB/f.u.: 0.00
SG: P-1

Entry 8:
First-principles (PBE) data for a relaxed La2PmRh crystal, as listed in Alexandria via LeMat-Bulk.

Cell and atoms, written as POSCAR:
```
La2PmRh
1.0
-3.819 2.830 -0.977
-2.690 -0.833 -3.952
-5.446 -2.738 1.305
La Rh Pm
2 1 1
Cartesian
-8.795 -0.378 -2.872
-3.160 -0.363 -0.752
-5.978 -0.371 -1.812
0.000 0.000 0.000
```

Calculated values
V, Å³/cell: 114
Calculated formation energy, eV/atom: -0.08
Total magnetic moment, μB/f.u.: 0.00
SG: R-3m

> The highest V belongs to which entry?

La3Pr2Er8

> Which formula does entry 4 have?

HgW

> Look up the V of the second one.

144 Å³/cell